Gd2ErCl: optimized geometry, PBE.

The structure belongs to space group R-3m (No. 166, hexagonal axes); the cell edges are 3.6247, 3.6247 and 30.0380 Å and the angles 90.00°, 90.00° and 120.00°. The inequivalent atoms are Gd at (0.0000, 0.0000, 0.2397), Er at (0.0000, 0.0000, 0.0000) and Cl at (0.0000, 0.0000, 0.5000).

The calculated total energy comes out at -9.307 eV per atom. Its spin magnetization is 44.40 μB per cell. The calculation puts the mass density at 7.5 g cm⁻³. The formation energy (no corrections) is -64.0 kJ/mol of atoms.